Crystalline InNiBi2 at its relaxed geometry. Source: Alexandria, functional PBE-GGA.

POSCAR file:
```
InNiBi2
1.0
-3.093 3.093 6.753
3.093 -3.093 6.753
3.093 3.093 -6.753
In Ni Bi
2 2 4
direct
0.000 0.000 0.000
0.750 0.250 0.500
0.250 0.750 0.500
0.500 0.500 0.000
0.197 0.625 0.072
0.375 0.447 0.572
0.553 0.125 0.928
0.875 0.803 0.428
```

Results
calculated formation energy = 226 meV per atom
SG = I-42d, No. 122
total moment = 0.0 μB per formula unit